Density functional theory data (PBE) for a relaxed MnWSe2N crystal.

a = 5.081 Å, b = 5.081 Å, c = 3.811 Å
α = 90.00°, β = 90.00°, γ = 90.00°
Space group P4/mmm (No. 123)
One atom of each set of equivalent atoms:
Mn 0.000 0.000 0.000 (multiplicity 1)
W 0.500 0.500 0.500 (multiplicity 1)
Se 0.000 0.500 0.500 (multiplicity 2)
N 0.500 0.500 0.000 (multiplicity 1)

## Properties
Energy relative to the elements, uncorrected ... 0.28 eV per atom
Distance to the lowest polymorph of the same formula ... 0 meV per atom